Computed, not measured: crystalline La3TlN at its relaxed geometry at the GGA-PBE level of DFT.

Properties
- Final energy: -5.80 eV per atom
- Crystal system: tetragonal

Unit cell a=18.615 b=10.466 c=10.466 alpha=116.25 beta=144.18 gamma=35.82
Positions (direct):
Tl (0.750, 0.125, 0.625)
Tl (0.250, 0.875, 0.375)
Tl (0.750, 0.625, 0.125)
Tl (0.250, 0.375, 0.875)
N (0.250, 0.375, 0.375)
N (0.250, 0.875, 0.875)
N (0.750, 0.625, 0.625)
N (0.750, 0.125, 0.125)
La (0.249, 0.243, 0.507)
La (0.251, 0.007, 0.743)
La (0.751, 0.757, 0.493)
La (0.749, 0.993, 0.257)
La (0.251, 0.507, 0.243)
La (0.249, 0.743, 0.007)
La (0.749, 0.493, 0.757)
La (0.751, 0.257, 0.993)
La (0.750, 0.875, 0.875)
La (0.750, 0.375, 0.375)
La (0.250, 0.125, 0.125)
La (0.250, 0.625, 0.625)